[1]
VASP calculation (PBE-GGA) on a geometry-optimized TcTe3S structure.

a = 5.0670 Å, b = 5.0670 Å, c = 5.0670 Å
α = 90.00°, β = 90.00°, γ = 90.00°
Last column: nearest neighbours and their distance in Å.
Space group Pm-3m (No. 221)
Unique sites:
Tc: 0.0000 0.0000 0.0000 [1 per cell]  12 Te 3.58
Te: 0.0000 0.5000 0.5000 [3 per cell]  2 S 2.53
S: 0.5000 0.5000 0.5000 [1 per cell]  6 Te 2.53

Results
* energy relative to the lowest polymorph listed for this composition: 593 meV/atom
* V: 130 Å³ per cell
* energy relative to the elements, uncorrected: 1268.0 meV/atom
* D(E_F): 4.4 states/eV/f.u.

=====

[2]
VASP calculation (PBE-GGA) on a geometry-optimized In2SeCl structure.

a = 4.1740 Å, b = 4.1740 Å, c = 23.1001 Å
α = 90.00°, β = 90.00°, γ = 120.00°
Last column: nearest neighbours and their distance in Å.
Space group R3m (No. 160, hexagonal axes)
Unique sites:
In: 0.0000 0.0000 0.0000 [3 per cell]  3 Se 2.91, 3 Cl 3.04
In: 0.0000 0.0000 0.1814 [3 per cell]  3 Se 3.05, 3 Cl 3.36
Se: 0.0000 0.0000 0.5958 [3 per cell]  6 In 2.91-3.05
Cl: 0.0000 0.0000 0.4134 [3 per cell]  6 In 3.04-3.36

Results
* energy relative to the lowest polymorph listed for this composition: 66 meV/atom
* V: 349 Å³ per cell
* energy relative to the elements, uncorrected: -493.6 meV/atom
* D(E_F): 3.3 states/eV/f.u.

=====

[3]
VASP calculation (PBE-GGA) on a geometry-optimized Ca3IrW structure.

a = 5.3136 Å, b = 5.3136 Å, c = 5.3136 Å
α = 90.00°, β = 90.00°, γ = 90.00°
Last column: nearest neighbours and their distance in Å.
Space group Pm-3m (No. 221)
Unique sites:
Ca: 0.0000 0.0000 0.5000 [3 per cell]  2 W 2.66
Ir: 0.5000 0.5000 0.5000 [1 per cell]  12 Ca 3.76
W: 0.0000 0.0000 0.0000 [1 per cell]  6 Ca 2.66

Results
* energy relative to the lowest polymorph listed for this composition: 720 meV/atom
* V: 150 Å³ per cell
* D(E_F): 8.2 states/eV/f.u.
* energy of formation: 1.626 eV per atom

=====

[4]
VASP calculation (PBE-GGA) on a geometry-optimized TlFeP2 structure.

a = 5.3852 Å, b = 7.5049 Å, c = 3.5288 Å
α = 90.00°, β = 90.00°, γ = 90.00°
Last column: nearest neighbours and their distance in Å.
Space group Cmmm (No. 65)
Unique sites:
Tl: 0.0000 0.0000 0.0000 [2 per cell]  2 Fe 2.69, 8 P 2.91
Fe: 0.0000 0.5000 0.0000 [2 per cell]  2 Tl 2.69, 8 P 2.91
P: 0.2500 0.2500 0.5000 [4 per cell]  2 P 2.69, 4 Tl 2.91, 4 Fe 2.91

Results
* energy relative to the lowest polymorph listed for this composition: 754 meV/atom
* V: 143 Å³ per cell
* D(E_F): 4.0 states/eV/f.u.
* energy of formation: 0.720 eV per atom

=====

[5]
VASP calculation (PBE-GGA) on a geometry-optimized Dy8Cd2Sb structure.

a = 18.3882 Å, b = 5.1558 Å, c = 7.0308 Å
α = 90.00°, β = 102.30°, γ = 90.00°
Last column: nearest neighbours and their distance in Å.
Space group C2/m (No. 12)
Unique sites:
Dy: 0.0240 0.0000 0.2525 [4 per cell]  1 Cd 3.09, 2 Sb 3.19
Dy: 0.0927 0.5000 0.9564 [4 per cell]  1 Sb 3.30, 6 Dy 3.47-3.59, 2 Cd 3.48
Dy: 0.1622 0.5000 0.4636 [4 per cell]  1 Sb 3.05, 3 Cd 3.08-3.15
Dy: 0.2045 0.0000 0.8103 [4 per cell]  3 Cd 3.03-3.28
Cd: 0.1902 0.0000 0.2322 [4 per cell]  7 Dy 3.03-3.28
Sb: 0.0000 0.5000 0.5000 [2 per cell]  8 Dy 3.05-3.30

Results
* V: 651 Å³ per cell
* energy relative to the elements, uncorrected: -233.8 meV/atom
* D(E_F): 11.8 states/eV/f.u.

=====

[6]
VASP calculation (PBE-GGA) on a geometry-optimized Tc2TeIr structure.

a = 2.9029 Å, b = 3.7227 Å, c = 6.1404 Å
α = 90.00°, β = 90.00°, γ = 90.00°
Last column: nearest neighbours and their distance in Å.
Space group Pmmm (No. 47)
Unique sites:
Tc: 0.0000 0.0000 0.2186 [2 per cell]  3 Tc 2.68-2.90, 4 Ir 2.72, 4 Te 2.93
Te: 0.5000 0.5000 0.5000 [1 per cell]  2 Te 2.90, 8 Tc 2.93, 2 Ir 3.07
Ir: 0.5000 0.5000 0.0000 [1 per cell]  8 Tc 2.72, 2 Ir 2.90

Results
* V: 66 Å³ per cell
* energy relative to the elements, uncorrected: 419.6 meV/atom
* D(E_F): 4.5 states/eV/f.u.

=====

[7]
VASP calculation (PBE-GGA) on a geometry-optimized NaCa3Sm2Te6 structure.

a = 19.5987 Å, b = 4.4784 Å, c = 9.0543 Å
α = 90.00°, β = 103.17°, γ = 90.00°
Last column: nearest neighbours and their distance in Å.
Space group C2/m (No. 12)
Unique sites:
Na: 0.0000 0.0000 0.0000 [2 per cell]  6 Te 3.21-3.25
Ca: 0.0000 0.0000 0.5000 [2 per cell]  6 Te 3.16-3.22
Ca: 0.1633 0.5000 0.8366 [4 per cell]  6 Te 3.15-3.21
Sm: 0.1638 0.5000 0.3321 [4 per cell]  6 Te 3.10-3.20
Te: 0.0017 0.5000 0.2549 [4 per cell]  1 Sm 3.10, 3 Ca 3.15-3.16, 2 Na 3.21
Te: 0.1685 0.0000 0.5848 [4 per cell]  3 Sm 3.19-3.20, 3 Ca 3.21-3.22
Te: 0.1701 0.0000 0.0892 [4 per cell]  2 Sm 3.16, 3 Ca 3.18, 1 Na 3.25

Results
* V: 774 Å³ per cell
* energy relative to the elements, uncorrected: -1478.2 meV/atom
* D(E_F): 3.1 states/eV/f.u.

=====

[8]
VASP calculation (PBE-GGA) on a geometry-optimized K2SnCl4O structure.

a = 8.7136 Å, b = 12.1662 Å, c = 4.1401 Å
α = 90.00°, β = 90.00°, γ = 90.00°
Last column: nearest neighbours and their distance in Å.
Space group Pbam (No. 55)
Unique sites:
K: 0.0654 0.1469 0.0000 [4 per cell]  2 O 2.79
Sn: 0.0000 0.5000 0.5000 [2 per cell]  6 Cl 2.62-2.73
Cl: 0.1352 0.6927 0.5000 [4 per cell]  1 Sn 2.62
Cl: 0.1819 0.4331 0.0000 [4 per cell]  2 Sn 2.73
O: 0.0000 0.0000 0.5000 [2 per cell]  4 K 2.79

Results
* V: 439 Å³ per cell
* energy relative to the elements, uncorrected: -1106.8 meV/atom
* D(E_F): 8.1 states/eV/f.u.

=====

[9]
VASP calculation (PBE-GGA) on a geometry-optimized NbCdGaSn2 structure.

a = 5.2260 Å, b = 5.2260 Å, c = 5.0590 Å
α = 90.00°, β = 90.00°, γ = 90.00°
Last column: nearest neighbours and their distance in Å.
Space group P4/mmm (No. 123)
Unique sites:
Nb: 0.0000 0.0000 0.0000 [1 per cell]  2 Ga 2.53
Cd: 0.5000 0.5000 0.0000 [1 per cell]  8 Sn 3.64, 4 Nb 3.70
Ga: 0.0000 0.0000 0.5000 [1 per cell]  2 Nb 2.53, 4 Sn 2.61
Sn: 0.0000 0.5000 0.5000 [2 per cell]  2 Ga 2.61

Results
* V: 138 Å³ per cell
* D(E_F): 5.8 states/eV/f.u.
* energy of formation: 0.791 eV per atom

=====

[10]
VASP calculation (PBE-GGA) on a geometry-optimized NaHfS2 structure.

a = 4.0421 Å, b = 8.8879 Å, c = 7.1548 Å
α = 90.00°, β = 124.32°, γ = 90.00°
Last column: nearest neighbours and their distance in Å.
Space group Pc (No. 7)
Unique sites:
Na: 0.0000 0.1198 0.0000 [2 per cell]  4 S 2.71-2.84
Hf: 0.0291 0.3961 0.5283 [2 per cell]  4 S 2.33-2.50
S: 0.2020 0.1607 0.7013 [2 per cell]  1 Hf 2.33
S: 0.2831 0.3790 0.2818 [2 per cell]  3 Hf 2.50

Results
* V: 212 Å³ per cell
* energy relative to the elements, uncorrected: -1112.1 meV/atom
* D(E_F): 2.3 states/eV/f.u.

=====

[11]
VASP calculation (PBE-GGA) on a geometry-optimized CeTmCd3 structure.

a = 3.3930 Å, b = 29.7733 Å, c = 5.0207 Å
α = 90.00°, β = 90.00°, γ = 90.00°
Last column: nearest neighbours and their distance in Å.
Space group Cmcm (No. 63)
Unique sites:
Ce: 0.0000 0.0750 0.2500 [4 per cell]  12 Cd 3.36-3.50, 2 Ce 3.39
Tm: 0.0000 0.2159 0.7500 [4 per cell]  7 Cd 3.16-3.23, 2 Tm 3.39
Cd: 0.0000 0.3221 0.7500 [4 per cell]  2 Cd 2.98, 5 Tm 3.16-3.23
Cd: 0.0000 0.3761 0.2500 [4 per cell]  3 Cd 2.96-2.98, 2 Tm 3.22
Cd: 0.0000 0.4754 0.2500 [4 per cell]  3 Cd 2.91-2.96

Results
* V: 507 Å³ per cell
* D(E_F): 8.7 states/eV/f.u.
* energy of formation: -0.244 eV per atom

=====

[12]
VASP calculation (PBE-GGA) on a geometry-optimized CoMo2W structure.

a = 6.2017 Å, b = 6.2017 Å, c = 6.2017 Å
α = 90.00°, β = 90.00°, γ = 90.00°
Last column: nearest neighbours and their distance in Å.
Space group Fm-3m (No. 225)
Unique sites:
Co: 0.0000 0.0000 0.0000 [4 per cell]  8 Mo 2.69
Mo: 0.2500 0.2500 0.2500 [8 per cell]  4 W 2.69, 4 Co 2.69
W: 0.0000 0.0000 0.5000 [4 per cell]  8 Mo 2.69

Results
* energy relative to the lowest polymorph listed for this composition: 133 meV/atom
* V: 239 Å³ per cell
* D(E_F): 4.4 states/eV/f.u.
* energy of formation: 0.208 eV per atom

=====

What did the fifth record say?
VASP calculation (PBE-GGA) on a geometry-optimized Dy8Cd2Sb structure.

a = 18.3882 Å, b = 5.1558 Å, c = 7.0308 Å
α = 90.00°, β = 102.30°, γ = 90.00°
Last column: nearest neighbours and their distance in Å.
Space group C2/m (No. 12)
Unique sites:
Dy: 0.0240 0.0000 0.2525 [4 per cell]  1 Cd 3.09, 2 Sb 3.19
Dy: 0.0927 0.5000 0.9564 [4 per cell]  1 Sb 3.30, 6 Dy 3.47-3.59, 2 Cd 3.48
Dy: 0.1622 0.5000 0.4636 [4 per cell]  1 Sb 3.05, 3 Cd 3.08-3.15
Dy: 0.2045 0.0000 0.8103 [4 per cell]  3 Cd 3.03-3.28
Cd: 0.1902 0.0000 0.2322 [4 per cell]  7 Dy 3.03-3.28
Sb: 0.0000 0.5000 0.5000 [2 per cell]  8 Dy 3.05-3.30

Results
* V: 651 Å³ per cell
* energy relative to the elements, uncorrected: -233.8 meV/atom
* D(E_F): 11.8 states/eV/f.u.